Density functional theory data (PBE-GGA) for a relaxed structure of Tb2SmMg9.

Geometry as POSCAR:
```
Tb2SmMg9
1.0
6.0495 0.0000 0.0000
3.0248 5.2391 0.0000
3.0248 1.7464 9.7630
Tb Sm Mg
2 1 9
Cartesian
9.0743 5.2391 4.1932 Tb
3.0248 1.7464 5.5699 Tb
0.0000 0.0000 0.0000 Sm
6.0496 3.4927 0.0218 Mg
6.0495 3.4927 9.7412 Mg
6.0495 3.4927 4.8815 Mg
4.5155 2.6070 2.4664 Mg
7.5836 2.6070 2.4664 Mg
6.0496 5.2641 2.4664 Mg
7.5836 4.3784 7.2966 Mg
6.0495 1.7213 7.2966 Mg
4.5155 4.3784 7.2966 Mg
```

Values from the calculation:
Fermi-level density of states   11.72 states/eV/cell
Final energy   -28.9 eV for the cell shown
Space group   R-3m
Energy relative to the elements   -0.05 eV/atom
Spin magnetization   0.0 μB/cell